Entry 1:
FeCuIrO6: relaxed, GGA+U.

- total energy (eV for the cell shown) = -109.31
- volume (Å³ per atom) = 10.7

Lattice parameters (Å, degrees): 5.0654 5.0654 8.6524 90.00 90.00 120.00
Closest atoms and distances in Å follow each position.
Element x y z (fractional)
1 Fe 0.3333 0.6667 0.2500  6 O 1.99
2 Fe 0.6667 0.3333 0.7500  6 O 1.99
3 Cu 0.0000 0.0000 0.0000  6 O 2.08
4 Cu 0.0000 0.0000 0.5000  6 O 2.08
5 Ir 0.3333 0.6667 0.7500  6 O 1.94
6 Ir 0.6667 0.3333 0.2500  6 O 1.94
7 O 0.0083 0.3528 0.6272  1 Ir 1.94, 1 Fe 1.99, 1 Cu 2.08
8 O 0.0083 0.6555 0.8728  1 Ir 1.94, 1 Fe 1.99, 1 Cu 2.08
9 O 0.3445 0.3528 0.8728  1 Ir 1.94, 1 Fe 1.99, 1 Cu 2.08
10 O 0.3445 0.9917 0.6272  1 Ir 1.94, 1 Fe 1.99, 1 Cu 2.08
11 O 0.3528 0.0083 0.1272  1 Ir 1.94, 1 Fe 1.99, 1 Cu 2.08
12 O 0.3528 0.3445 0.3728  1 Ir 1.94, 1 Fe 1.99, 1 Cu 2.08
13 O 0.6472 0.6555 0.6272  1 Ir 1.94, 1 Fe 1.99, 1 Cu 2.08
14 O 0.6472 0.9917 0.8728  1 Ir 1.94, 1 Fe 1.99, 1 Cu 2.08
15 O 0.6555 0.0083 0.3728  1 Ir 1.94, 1 Fe 1.99, 1 Cu 2.08
16 O 0.6555 0.6472 0.1272  1 Ir 1.94, 1 Fe 1.99, 1 Cu 2.08
17 O 0.9917 0.3445 0.1272  1 Ir 1.94, 1 Fe 1.99, 1 Cu 2.08
18 O 0.9917 0.6472 0.3728  1 Ir 1.94, 1 Fe 1.99, 1 Cu 2.08

Entry 2:
FeCuIrO2: relaxed, GGA+U.

- total energy (eV for the cell shown) = -27.71
- volume (Å³ per atom) = 16.1

Lattice parameters (Å, degrees): 3.7345 3.7345 5.7666 90.00 90.00 90.00
Closest atoms and distances in Å follow each position.
Element x y z (fractional)
1 Fe 0.0000 0.0000 0.0000  4 Cu 2.64, 2 Ir 2.88
2 Cu 0.5000 0.5000 0.0000  4 Fe 2.64
3 Ir 0.0000 0.0000 0.5000  4 O 1.87
4 O 0.0000 0.5000 0.5000  2 Ir 1.87
5 O 0.5000 0.0000 0.5000  2 Ir 1.87

Entry 3:
Fe2CuIrO6: relaxed, GGA+U.

- total energy (eV for the cell shown) = -62.32
- volume (Å³ per atom) = 10.4

Lattice parameters (Å, degrees): 5.4628 5.4628 5.4628 55.85 55.85 55.85
Closest atoms and distances in Å follow each position.
Element x y z (fractional)
1 Fe 0.0000 0.0000 0.0000  6 O 1.97-1.99
2 Fe 0.4849 0.4849 0.4849  6 O 1.97-2.18
3 Cu 0.2055 0.2055 0.2055  3 O 2.01
4 Ir 0.6859 0.6859 0.6859  6 O 2.01-2.02
5 O 0.0904 0.3954 0.7797  2 Fe 1.97-1.99, 1 Ir 2.02
6 O 0.2779 0.8895 0.6156  2 Fe 1.97-2.18, 1 Cu 2.01, 1 Ir 2.01
7 O 0.3954 0.7797 0.0904  2 Fe 1.97-1.99, 1 Ir 2.02
8 O 0.6156 0.2779 0.8895  2 Fe 1.97-2.18, 1 Cu 2.01, 1 Ir 2.01
9 O 0.7797 0.0904 0.3954  2 Fe 1.97-1.99, 1 Ir 2.02
10 O 0.8895 0.6156 0.2779  2 Fe 1.97-2.18, 1 Cu 2.01, 1 Ir 2.01

> What is the formula in the second record?

FeCuIrO2